# CaCrPO2, relaxed, DFT PBE with a Hubbard U
data_CaCrPO2
_chemical_formula_sum 'Ca1 Cr1 P1 O2'
_cell_length_a 3.905
_cell_length_b 3.905
_cell_length_c 4.822
_cell_angle_alpha 90.00
_cell_angle_beta 90.00
_cell_angle_gamma 90.00
_space_group_name_H-M_alt 'P 1'
_space_group_IT_number 1
loop_
_space_group_symop_operation_xyz
'x,y,z'
loop_
_atom_site_label
_atom_site_type_symbol
_atom_site_fract_x
_atom_site_fract_y
_atom_site_fract_z
Ca1 Ca 0.000 0.000 0.000
Cr1 Cr 0.500 0.500 0.500
P1 P 0.500 0.500 0.000
O1 O 0.000 0.500 0.500
O2 O 0.500 0.000 0.500
# **V**: 74 Å³ per cell
# **Raw total energy**: -5.9889 eV/atom